Below is an optimized crystal structure of DyTmMg17, with properties calculated at the GGA-PBE level.

Properties
For the formation energy, the calculation gives -0.002 eV per atom. The density of states at the Fermi level is 8.26 states/eV/f.u. As for the total DFT energy (no corrections): -1.906 eV per atom. As for the mass density: 2.71 g/cm³.

The structure in CIF format:
```
data_DyTmMg17
_chemical_formula_sum 'Dy1 Tm1 Mg17'
_symmetry_space_group_name_H-M 'P 1'
_symmetry_Int_Tables_number 1
_symmetry_space_group_name_Hall 'P 1'
_cell_length_a 7.773
_cell_length_b 7.773
_cell_length_c 7.773
_cell_angle_alpha 81.96
_cell_angle_beta 81.96
_cell_angle_gamma 81.96
loop_
_atom_site_label
_atom_site_type_symbol
_atom_site_fract_x
_atom_site_fract_y
_atom_site_fract_z
Dy1 Dy 0.000 0.000 0.000
Tm1 Tm 0.656 0.656 0.656
Mg1 Mg 0.022 0.329 0.634
Mg2 Mg 0.022 0.634 0.329
Mg3 Mg 0.170 0.681 0.681
Mg4 Mg 0.229 0.229 0.229
Mg5 Mg 0.326 0.326 0.830
Mg6 Mg 0.326 0.830 0.326
Mg7 Mg 0.329 0.022 0.634
Mg8 Mg 0.329 0.634 0.022
Mg9 Mg 0.428 0.428 0.428
Mg10 Mg 0.491 0.974 0.974
Mg11 Mg 0.634 0.022 0.329
Mg12 Mg 0.634 0.329 0.022
Mg13 Mg 0.681 0.170 0.681
Mg14 Mg 0.681 0.681 0.170
Mg15 Mg 0.830 0.326 0.326
Mg16 Mg 0.974 0.491 0.974
Mg17 Mg 0.974 0.974 0.491
```